Below is an optimized crystal structure of ScPaPO, with properties calculated at the PBE level.

Geometry as POSCAR:
```
ScPaPO
1.0
-0.9166 3.0638 2.6448
-5.5004 -3.8291 2.5295
3.4412 -2.3540 3.9195
O P Sc Pa
2 2 2 2
Cartesian
2.1545 -2.6503 3.8168 O
-3.3618 -4.1156 3.6026 O
-0.7126 -0.7277 3.8518 P
-0.9661 -3.2790 6.7194 P
1.0858 -1.6238 2.2573 Sc
-4.8586 -3.3871 2.2400 Sc
1.1491 -1.8170 5.7588 Pa
-2.8126 -2.2001 4.8297 Pa
```

* E above lowest polymorph: 0.162 eV per atom
* density: 6.31 Mg/m³
* space-group type: Pmc2_1
* spin magnetization: 0.283 μB per atom

Below is an optimized crystal structure of ScPaPO, with properties calculated at the PBE level.

Geometry as POSCAR:
```
ScPaPO
1.0
2.8954 0.3925 2.9878
-2.9680 1.0887 2.7332
-1.0527 -8.1041 2.0849
P Pa O Sc
2 2 2 2
Cartesian
-0.7671 -5.9051 1.5192 P
-0.3219 -1.4584 3.4262 P
-2.0103 -3.5077 2.4090 Pa
0.9213 -3.8558 2.5363 Pa
-1.4840 0.5443 1.3666 O
1.4477 0.1963 1.4939 O
-1.0131 -6.7789 4.7950 Sc
-0.0759 -0.5847 0.1504 Sc
```

* E above lowest polymorph: 0.434 eV per atom
* density: 7.28 Mg/m³
* space-group type: P4/nmm
* spin magnetization: 0.006 μB per atom

Below is an optimized crystal structure of ScPaPO, with properties calculated at the PBE level.

Geometry as POSCAR:
```
ScPaPO
1.0
4.0261 0.0000 0.0000
0.0000 4.0261 0.0000
0.0000 0.0000 8.8259
O P Pa Sc
2 2 2 2
Cartesian
2.0131 0.0000 0.0000 O
0.0000 2.0131 0.0000 O
0.0000 0.0000 6.1707 P
2.0131 2.0131 2.6552 P
2.0131 2.0131 7.5125 Pa
0.0000 0.0000 1.3134 Pa
2.0131 0.0000 4.4130 Sc
0.0000 2.0131 4.4130 Sc
```

* E above lowest polymorph: 0.000 eV per atom
* density: 7.50 Mg/m³
* space-group type: P4/nmm
* spin magnetization: 0.317 μB per atom

Below is an optimized crystal structure of ScPaPO, with properties calculated at the PBE level.

Geometry as POSCAR:
```
ScPaPO
1.0
-3.3250 1.7756 1.3060
-2.7684 -6.7634 2.1470
2.1837 0.6084 4.7322
P Pa Sc O
2 2 2 2
Cartesian
0.0420 0.6184 5.3586 P
-3.1305 -4.7689 4.6061 P
1.0328 -1.9124 5.2292 Pa
-0.7945 -4.0132 3.4335 Pa
-1.3020 -0.3044 3.1917 Sc
-1.7841 -3.8455 6.7785 Sc
0.0715 -1.9001 2.7653 O
0.1691 -4.0249 5.9025 O
```

* E above lowest polymorph: 0.178 eV per atom
* density: 6.73 Mg/m³
* space-group type: Pmc2_1
* spin magnetization: 0.267 μB per atom

Below is an optimized crystal structure of ScPaPO, with properties calculated at the PBE level.

Geometry as POSCAR:
```
ScPaPO
1.0
-2.8251 0.4201 -3.0451
-2.2736 -3.0691 1.6858
-4.1957 5.6764 4.6755
Pa Sc O P
2 2 2 2
Cartesian
-2.0978 2.8382 2.3378 Pa
-4.6471 1.5137 1.6581 Pa
-5.2958 5.4638 2.8049 Sc
-1.4491 -1.1119 1.1910 Sc
0.0000 0.0000 0.0000 O
-2.5493 -1.3245 -0.6797 O
-4.1928 2.6000 4.2484 P
-2.5522 1.7519 -0.2526 P
```

* E above lowest polymorph: 0.434 eV per atom
* density: 7.27 Mg/m³
* space-group type: P4/nmm
* spin magnetization: 0.003 μB per atom

Below is an optimized crystal structure of PaSiPO, with properties calculated at the PBE level.

Geometry as POSCAR:
```
PaSiPO
1.0
2.6671 -2.6671 0.0000
2.6671 2.6671 0.0000
0.0000 0.0000 9.7543
P Si Pa O
2 2 2 2
Cartesian
2.6671 0.0000 2.6999 P
0.0000 0.0000 7.0544 P
1.3335 1.3335 4.8771 Si
1.3335 -1.3335 4.8771 Si
2.6671 0.0000 8.3350 Pa
0.0000 0.0000 1.4193 Pa
1.3335 1.3335 0.0000 O
1.3335 -1.3335 0.0000 O
```

* E above lowest polymorph: 0.000 eV per atom
* density: 7.33 Mg/m³
* space-group type: P4/nmm
* spin magnetization: 0.099 μB per atom

Below is an optimized crystal structure of PaSiPO, with properties calculated at the PBE level.

Geometry as POSCAR:
```
PaSiPO
1.0
3.8716 0.0000 0.0000
0.0000 6.0282 0.0000
0.0000 0.0000 6.1095
Si Pa P O
2 2 2 2
Cartesian
1.9358 5.2601 2.9518 Si
1.9358 0.7681 6.0065 Si
0.0000 1.6253 3.5551 Pa
0.0000 4.4029 0.5003 Pa
1.9358 2.4346 1.5292 P
1.9358 3.5935 4.5839 P
0.0000 5.3988 2.6800 O
0.0000 0.6294 5.7347 O
```

* E above lowest polymorph: 0.151 eV per atom
* density: 7.13 Mg/m³
* space-group type: Pmc2_1
* spin magnetization: 0.218 μB per atom

Below is an optimized crystal structure of PaSiPO, with properties calculated at the PBE level.

Geometry as POSCAR:
```
PaSiPO
1.0
-3.6948 1.8022 -1.7714
-0.7513 -3.7794 -2.2780
-3.5360 -2.3199 5.0151
O Si Pa P
2 2 2 2
Cartesian
-2.2231 -0.9886 -2.0247 O
0.0000 0.0000 0.0000 O
-0.6645 -2.0792 -0.7293 Si
-5.0946 -1.2293 3.7197 Si
-3.9911 -2.1486 0.4828 Pa
-1.7680 -1.1600 2.5076 Pa
-2.7665 0.2981 0.4178 P
-2.9926 -3.6066 2.5726 P
```

* E above lowest polymorph: 0.995 eV per atom
* density: 7.73 Mg/m³
* space-group type: P4/nmm
* spin magnetization: 0.102 μB per atom

Below is an optimized crystal structure of SmPaPO, with properties calculated at the PBE level.

Geometry as POSCAR:
```
SmPaPO
1.0
4.2174 0.0000 0.0000
0.0000 4.2174 0.0000
0.0000 0.0000 9.2788
O Sm Pa P
2 2 2 2
Cartesian
2.1087 2.1087 0.0000 O
0.0000 0.0000 0.0000 O
0.0000 2.1087 1.0341 Sm
2.1087 0.0000 8.2447 Sm
2.1087 2.1087 4.6394 Pa
0.0000 0.0000 4.6394 Pa
2.1087 0.0000 2.6854 P
0.0000 2.1087 6.5934 P
```

* E above lowest polymorph: 0.046 eV per atom
* density: 8.62 Mg/m³
* space-group type: P4/nmm
* spin magnetization: 0.005 μB per atom

Below is an optimized crystal structure of SmPaPO, with properties calculated at the PBE level.

Geometry as POSCAR:
```
SmPaPO
1.0
-0.7449 1.3344 -3.9043
4.3752 -5.9634 -2.8730
-4.5664 -3.2369 -0.2352
Sm Pa P O
2 2 2 2
Cartesian
-1.4844 -1.9700 -2.6414 Sm
-1.1772 -7.1191 -4.4599 Sm
-2.6459 -5.2860 -1.3019 Pa
0.7204 -5.1439 -1.8956 Pa
1.3434 -5.8159 -4.4953 P
-3.9969 -3.2675 -2.6055 P
-1.3625 -7.0086 -2.1355 O
-0.5372 -3.4030 -1.0606 O
```

* E above lowest polymorph: 0.000 eV per atom
* density: 7.63 Mg/m³
* space-group type: Pmc2_1
* spin magnetization: 0.289 μB per atom

Below is an optimized crystal structure of SmPaPO, with properties calculated at the PBE level.

Geometry as POSCAR:
```
SmPaPO
1.0
4.1716 0.0000 0.0000
0.0000 4.1716 0.0000
0.0000 0.0000 9.1825
Pa O P Sm
2 2 2 2
Cartesian
0.0000 0.0000 1.2337 Pa
2.0858 2.0858 7.9488 Pa
0.0000 2.0858 0.0000 O
2.0858 0.0000 0.0000 O
2.0858 2.0858 2.5361 P
0.0000 0.0000 6.6464 P
0.0000 2.0858 4.5913 Sm
2.0858 0.0000 4.5913 Sm
```

* E above lowest polymorph: 0.041 eV per atom
* density: 8.90 Mg/m³
* space-group type: P4/nmm
* spin magnetization: 0.252 μB per atom

Below is an optimized crystal structure of PaTaPO, with properties calculated at the PBE level.

Geometry as POSCAR:
```
PaTaPO
1.0
-1.3515 -1.5985 3.3254
0.6883 -3.5885 -1.4452
8.1380 0.1916 3.3996
Pa Ta P O
2 2 2 2
Cartesian
1.6067 -1.7645 -0.1952 Pa
6.1996 -0.6373 4.5349 Pa
3.7374 -2.4977 2.6399 Ta
4.0690 0.0958 1.6998 Ta
1.8278 -0.7403 2.7085 P
5.9786 -1.6616 1.6312 P
0.0000 0.0000 0.0000 O
-0.3316 -2.5935 0.9401 O
```

* E above lowest polymorph: 0.000 eV per atom
* density: 11.19 Mg/m³
* space-group type: P4/nmm
* spin magnetization: 0.161 μB per atom

Below is an optimized crystal structure of PaTaPO, with properties calculated at the PBE level.

Geometry as POSCAR:
```
PaTaPO
1.0
4.2364 0.0000 0.0000
0.0000 4.7552 0.0000
0.0000 0.0000 6.7189
O Pa P Ta
2 2 2 2
Cartesian
0.0000 4.0873 2.9444 O
0.0000 0.6679 6.3039 O
0.0000 1.6461 3.9430 Pa
0.0000 3.1091 0.5836 Pa
2.1182 3.0948 5.3095 P
2.1182 1.6604 1.9501 P
2.1182 0.6869 6.3069 Ta
2.1182 4.0683 2.9474 Ta
```

* E above lowest polymorph: 0.279 eV per atom
* density: 11.26 Mg/m³
* space-group type: Pmc2_1
* spin magnetization: 0.274 μB per atom

Below is an optimized crystal structure of PaTaPO, with properties calculated at the PBE level.

Geometry as POSCAR:
```
PaTaPO
1.0
4.1599 0.0000 0.0000
0.0000 4.1599 0.0000
0.0000 0.0000 7.4858
Pa Ta O P
2 2 2 2
Cartesian
2.0799 2.0799 3.7429 Pa
0.0000 0.0000 3.7429 Pa
2.0799 0.0000 6.6700 Ta
0.0000 2.0799 0.8158 Ta
2.0799 2.0799 0.0000 O
0.0000 0.0000 0.0000 O
2.0799 0.0000 1.7918 P
0.0000 2.0799 5.6940 P
```

* E above lowest polymorph: 1.117 eV per atom
* density: 11.77 Mg/m³
* space-group type: P4/nmm
* spin magnetization: 0.008 μB per atom

Below is an optimized crystal structure of PaTcPO, with properties calculated at the PBE level.

Geometry as POSCAR:
```
PaTcPO
1.0
-1.2119 4.0394 -0.6934
-3.5869 -0.8330 1.4166
2.3159 1.8924 6.9767
Tc P Pa O
2 2 2 2
Cartesian
0.6570 3.5799 6.5355 Tc
-2.2815 2.2203 3.7504 Tc
-1.5482 2.8230 5.9805 P
-0.9132 2.2932 1.7840 P
0.5304 0.9651 4.6955 Pa
-2.3963 -0.3918 1.9057 Pa
1.3028 1.5792 6.9228 O
-1.6822 0.2087 4.1561 O
```

* E above lowest polymorph: 0.428 eV per atom
* density: 9.76 Mg/m³
* space-group type: Pmc2_1
* spin magnetization: 0.008 μB per atom

Below is an optimized crystal structure of PaTcPO, with properties calculated at the PBE level.

Geometry as POSCAR:
```
PaTcPO
1.0
4.0540 0.0000 0.0000
0.0000 4.0540 0.0000
0.0000 0.0000 7.8763
P O Pa Tc
2 2 2 2
Cartesian
2.0270 2.0270 2.7228 P
0.0000 0.0000 5.1535 P
0.0000 2.0270 0.0000 O
2.0270 0.0000 0.0000 O
2.0270 2.0270 6.5814 Pa
0.0000 0.0000 1.2949 Pa
0.0000 2.0270 3.9381 Tc
2.0270 0.0000 3.9381 Tc
```

* E above lowest polymorph: 0.000 eV per atom
* density: 9.65 Mg/m³
* space-group type: P4/nmm
* spin magnetization: 0.210 μB per atom

Below is an optimized crystal structure of PaTcPO, with properties calculated at the PBE level.

Geometry as POSCAR:
```
PaTcPO
1.0
-0.2529 2.9721 -3.3401
-5.6861 -0.4522 0.0281
-0.3100 4.1282 3.6969
P Tc Pa O
2 2 2 2
Cartesian
-4.5827 2.9414 -0.0376 P
-1.7815 5.2407 1.7962 P
-3.6028 1.8551 1.9235 Tc
-2.2481 -0.1136 0.0691 Tc
-1.7109 3.1505 -0.0690 Pa
-4.6504 4.9932 1.7933 Pa
-1.6365 1.4122 1.3805 O
-4.4349 3.2661 3.2421 O
```

* E above lowest polymorph: 0.600 eV per atom
* density: 8.81 Mg/m³
* space-group type: Pmc2_1
* spin magnetization: 0.002 μB per atom

Below is an optimized crystal structure of PaTcPO, with properties calculated at the PBE level.

Geometry as POSCAR:
```
PaTcPO
1.0
-1.7220 0.1323 -3.8251
1.9941 -3.5492 -1.0204
-5.3671 -3.6735 2.2891
Pa O Tc P
2 2 2 2
Cartesian
-1.6865 -3.6114 0.6343 Pa
-3.5445 -1.7706 -0.7680 Pa
-0.8610 0.0661 -1.9126 O
0.9970 -1.7746 -0.5102 O
-0.7087 -0.4851 0.3023 Tc
-4.5224 -4.8969 -0.4359 Tc
-1.0242 -2.5026 -1.9279 P
-4.2068 -2.8794 1.7942 P
```

* E above lowest polymorph: 1.736 eV per atom
* density: 10.28 Mg/m³
* space-group type: P4/nmm
* spin magnetization: 0.001 μB per atom

Below is an optimized crystal structure of PaTlPO, with properties calculated at the PBE level.

Geometry as POSCAR:
```
PaTlPO
1.0
-0.3855 0.1175 -4.4187
-5.9825 -3.9653 0.4164
-4.0428 6.1536 0.5163
P O Tl Pa
2 2 2 2
Cartesian
-7.7731 3.2365 -1.4636 P
-4.0813 1.2668 -1.8380 P
-6.8655 -2.0800 0.5436 O
-3.3998 4.6337 0.4198 O
-6.7187 0.5193 -1.6278 Tl
-2.0088 -0.7756 -2.0731 Tl
-5.1073 -3.3505 0.3564 Pa
-2.9284 2.5103 0.3222 Pa
```

* E above lowest polymorph: 0.108 eV per atom
* density: 6.80 Mg/m³
* space-group type: Pmc2_1
* spin magnetization: 0.250 μB per atom

Below is an optimized crystal structure of PaTlPO, with properties calculated at the PBE level.

Geometry as POSCAR:
```
PaTlPO
1.0
-3.0837 -1.4208 -2.4978
5.1432 -3.6721 -4.2609
-0.5690 -4.7415 3.3995
Tl O Pa P
2 2 2 2
Cartesian
1.5731 -5.9591 1.4474 Tl
2.7856 -4.2509 -1.0211 Tl
0.4587 -2.5684 0.8947 O
3.9047 -7.6027 -0.4961 O
-0.8236 -3.4863 -0.5566 Pa
2.0984 -8.1464 -1.5133 Pa
-1.1112 -5.8547 1.1455 P
2.3860 -5.7777 -3.2157 P
```

* E above lowest polymorph: 0.043 eV per atom
* density: 8.51 Mg/m³
* space-group type: Pmc2_1
* spin magnetization: 0.236 μB per atom

Below is an optimized crystal structure of PaTlPO, with properties calculated at the PBE level.

Geometry as POSCAR:
```
PaTlPO
1.0
5.7886 0.0000 0.0000
0.0000 5.7886 0.0000
0.0000 0.0000 5.0560
Pa O P Tl
2 2 2 2
Cartesian
0.0000 0.0000 2.5280 Pa
2.8943 2.8943 2.5280 Pa
2.8943 2.8943 0.0000 O
0.0000 0.0000 0.0000 O
0.0000 2.8943 2.6866 P
2.8943 0.0000 2.3694 P
2.8943 0.0000 4.9212 Tl
0.0000 2.8943 0.1347 Tl
```

* E above lowest polymorph: 0.456 eV per atom
* density: 9.46 Mg/m³
* space-group type: P4/nmm
* spin magnetization: 0.305 μB per atom

Below is an optimized crystal structure of PaTlPO, with properties calculated at the PBE level.

Geometry as POSCAR:
```
PaTlPO
1.0
-1.0375 3.8017 -0.8682
-3.4558 -1.3126 -1.6179
-4.5509 0.8252 9.0516
Pa O Tl P
2 2 2 2
Cartesian
-7.3346 2.5857 6.0209 Pa
-1.7097 0.7286 0.5446 Pa
-2.8513 -0.0340 -1.4304 O
-1.6421 2.5231 -1.0556 O
-3.9176 2.9357 3.4702 Tl
-5.1267 0.3786 3.0954 Tl
-4.5363 1.2411 6.1667 P
-4.5080 2.0732 0.3988 P
```

* E above lowest polymorph: 0.000 eV per atom
* density: 9.68 Mg/m³
* space-group type: P4/nmm
* spin magnetization: 0.223 μB per atom

Below is an optimized crystal structure of YPaPO, with properties calculated at the PBE level.

Geometry as POSCAR:
```
YPaPO
1.0
-1.5729 -0.9499 -4.8850
5.3100 0.6629 -1.8386
0.9467 -5.4753 0.7599
O P Y Pa
2 2 2 2
Cartesian
4.6955 -1.6594 -1.1892 O
1.8479 -4.8116 0.3406 O
4.0165 -5.0889 -3.0918 P
1.0120 -2.6672 -2.5953 P
5.1703 -4.8863 -0.7146 Y
1.5388 -2.5429 -0.0010 Y
1.3750 -5.4155 -2.1777 Pa
3.6524 -2.3344 -3.5102 Pa
```

* E above lowest polymorph: 0.000 eV per atom
* density: 7.36 Mg/m³
* space-group type: Pmc2_1
* spin magnetization: 0.271 μB per atom

Below is an optimized crystal structure of YPaPO, with properties calculated at the PBE level.

Geometry as POSCAR:
```
YPaPO
1.0
-0.0867 3.7538 -1.8190
0.2459 -1.8116 -3.7503
-8.9386 -0.3974 -0.3940
O P Y Pa
2 2 2 2
Cartesian
0.0796 0.9711 -2.7847 O
0.0000 0.0000 0.0000 O
-2.4096 -1.0184 -1.9868 P
-6.4495 1.5921 -1.1919 P
-4.4693 -0.1987 -0.1970 Y
-4.3898 0.7724 -2.9817 Y
-1.2773 1.8220 -0.9639 Pa
-7.5817 -1.2484 -2.2148 Pa
```

* E above lowest polymorph: 0.080 eV per atom
* density: 7.82 Mg/m³
* space-group type: P4/nmm
* spin magnetization: 0.256 μB per atom

Below is an optimized crystal structure of YPaPO, with properties calculated at the PBE level.

Geometry as POSCAR:
```
YPaPO
1.0
-2.4876 2.0812 -2.5679
-4.6504 -6.3440 -0.6367
-2.9522 1.7359 4.2667
Y Pa P O
2 2 2 2
Cartesian
-7.7062 -2.3624 2.2182 Y
-3.5012 0.4924 0.4584 Y
-4.2078 -3.2015 1.4814 Pa
-4.5196 -0.7452 3.7742 Pa
-6.5205 -3.6250 0.0463 P
-4.6885 1.7559 2.6326 P
-2.8168 -1.3366 1.6454 O
-5.8772 -2.6298 3.5618 O
```

* E above lowest polymorph: 0.061 eV per atom
* density: 6.82 Mg/m³
* space-group type: Pmc2_1
* spin magnetization: 0.284 μB per atom